VASP calculation (PBE-GGA) on an optimized crystal structure of Sr2Mn2N3.

DOS(E_F) ... 0.55 states/eV/atom
Formation energy without anion corrections ... -45.6 kJ/mol of atoms
Mass density ... 4.0 g/cm3
Electronic total energy ... -99.98 eV for the cell shown

abc: 9.7102 3.4088 9.3184
angles: 90.00 119.41 90.00
Space group C2/m (No. 12)
Asymmetric unit:
Sr 0.0667 0.0000 0.2497 [4 per cell]
Mn 0.1986 0.5000 0.0542 [4 per cell]
N 0.0000 0.5000 0.0000 [2 per cell]
N 0.2070 0.5000 0.8544 [4 per cell]

VASP calculation (PBE-GGA) on an optimized crystal structure of SrMn3N.

DOS(E_F) ... 1.13 states/eV/atom
E above lowest polymorph ... 2714 meV/atom
Formation energy without anion corrections ... 300.7 kJ/mol of atoms
Mass density ... 3.6 g/cm3
Electronic total energy ... -21.93 eV for the cell shown

abc: 4.9877 4.9877 4.9877
angles: 90.00 90.00 90.00
Space group Pm-3m (No. 221)
Asymmetric unit:
Sr 0.0000 0.0000 0.0000 [1 per cell]
Mn 0.0000 0.0000 0.5000 [3 per cell]
N 0.5000 0.5000 0.5000 [1 per cell]

VASP calculation (PBE-GGA) on an optimized crystal structure of SrMn3N.

DOS(E_F) ... 1.24 states/eV/atom
E above lowest polymorph ... 0 meV/atom
Formation energy without anion corrections ... 38.8 kJ/mol of atoms
Mass density ... 5.7 g/cm3
Electronic total energy ... -35.50 eV for the cell shown

abc: 4.2559 4.2559 4.2559
angles: 90.00 90.00 90.00
Space group Pm-3m (No. 221)
Asymmetric unit:
Sr 0.0000 0.0000 0.0000 [1 per cell]
Mn 0.0000 0.5000 0.5000 [3 per cell]
N 0.5000 0.5000 0.5000 [1 per cell]